LuAl4NiGe2 | PBE | optimized geometry

Unit cell a=10.4904 b=10.4904 c=10.4904 alpha=22.41 beta=22.41 gamma=22.41
Closest atoms and distances in Å follow each position.
Sites, in units of the cell vectors:
Al  0.0783  0.0783  0.0783  1 Ni 2.40, 3 Ge 2.57
Lu  0.5000  0.5000  0.5000  6 Ge 2.89
Ge  0.2215  0.2215  0.2215  4 Al 2.57-2.73
Ge  0.7785  0.7785  0.7785  4 Al 2.57-2.73
Al  0.3105  0.3105  0.3105  3 Ni 2.46, 1 Ge 2.73, 3 Al 2.74
Al  0.6895  0.6895  0.6895  3 Ni 2.46, 1 Ge 2.73, 3 Al 2.74
Al  0.9217  0.9217  0.9217  1 Ni 2.40, 3 Ge 2.57
Ni  0.0000  0.0000  0.0000  8 Al 2.40-2.46

Results
E, hartree per atom: -0.175
ρ, g cm⁻³: 5.5
SG: R-3m, No. 166